The following is a GGA-PBE calculation of a relaxed structure of SmNiP, from OQMD.

Calculated values
Mass density = 7.50 g/cm3
VASP energy = -6.423 eV/atom
Size of the total moment = 0.00 μB/f.u.

Cell and atoms, written as extended XYZ:
```
6
Lattice="3.9326 0.0000 0.0000 -1.9663 3.4058 0.0000 0.0000 0.0000 7.9314" Properties=species:S:1:pos:R:3 pbc="T T T"
Sm 0.0000 0.0000 0.0000
Sm 0.0000 0.0000 3.9657
Ni 0.0000 2.2705 1.9829
Ni 1.9663 1.1353 5.9486
P 0.0000 2.2705 5.9486
P 1.9663 1.1353 1.9829
```

***

The following is a GGA-PBE calculation of a relaxed structure of Li2MoOs, from OQMD.

Calculated values
Mass density = 9.23 g/cm3
VASP energy = -6.277 eV/atom
Size of the total moment = 0.01 μB/f.u.

Cell and atoms, written as extended XYZ:
```
16
Lattice="5.9992 0.0000 0.0000 0.0000 5.9992 0.0000 0.0000 0.0000 5.9992" Properties=species:S:1:pos:R:3 pbc="T T T"
Li 0.0000 0.0000 0.0000
Li 0.0000 2.9996 2.9996
Li 1.4998 1.4998 1.4998
Li 1.4998 4.4994 4.4994
Li 2.9996 0.0000 2.9996
Li 2.9996 2.9996 0.0000
Li 4.4994 1.4998 4.4994
Li 4.4994 4.4994 1.4998
Mo 1.4998 1.4998 4.4994
Mo 1.4998 4.4994 1.4998
Mo 4.4994 1.4998 1.4998
Mo 4.4994 4.4994 4.4994
Os 0.0000 0.0000 2.9996
Os 0.0000 2.9996 0.0000
Os 2.9996 0.0000 0.0000
Os 2.9996 2.9996 2.9996
```

***

The following is a GGA-PBE calculation of a relaxed structure of TmPa3N6, from OQMD.

Calculated values
Mass density = 9.99 g/cm3
VASP energy = -9.717 eV/atom
Size of the total moment = 0.02 μB/f.u.

Cell and atoms, written as extended XYZ:
```
10
Lattice="3.8805 -5.5538 0.0000 3.8805 5.5538 0.0000 0.0000 0.0000 3.6500" Properties=species:S:1:pos:R:3 pbc="T T T"
Tm 0.0000 0.0000 0.0000
Pa 1.9403 2.7769 1.8250
Pa 1.9403 -2.7769 1.8250
Pa 3.8805 0.0000 0.0000
N 3.8805 3.9221 1.8250
N 2.3054 1.4407 0.0000
N 2.3054 -1.4407 0.0000
N 5.4557 1.4407 0.0000
N 5.4557 -1.4407 0.0000
N 3.8805 -3.9221 1.8250
```

***

The following is a GGA-PBE calculation of a relaxed structure of BeAlTcNi, from OQMD.

Calculated values
Offset from the most stable computed form = 0.622 eV/f.u.
Mass density = 6.66 g/cm3
Size of the total moment = 0.98 μB/f.u.

Cell and atoms, written as extended XYZ:
```
16
Lattice="5.7719 0.0000 0.0000 0.0000 5.7719 0.0000 0.0000 0.0000 5.7719" Properties=species:S:1:pos:R:3 pbc="T T T"
Be 0.0000 0.0000 0.0000
Be 0.0000 2.8860 2.8860
Be 2.8860 0.0000 2.8860
Be 2.8860 2.8860 0.0000
Al 1.4430 1.4430 1.4430
Al 1.4430 4.3289 4.3289
Al 4.3289 1.4430 4.3289
Al 4.3289 4.3289 1.4430
Tc 1.4430 1.4430 4.3289
Tc 1.4430 4.3289 1.4430
Tc 4.3289 1.4430 1.4430
Tc 4.3289 4.3289 4.3289
Ni 0.0000 0.0000 2.8860
Ni 0.0000 2.8860 0.0000
Ni 2.8860 0.0000 0.0000
Ni 2.8860 2.8860 2.8860
```

***

> What is the mass density in the third record?

9.99 g/cm3

***

Repeat the third record exactly.
The following is a GGA-PBE calculation of a relaxed structure of TmPa3N6, from OQMD.

Calculated values
Mass density = 9.99 g/cm3
VASP energy = -9.717 eV/atom
Size of the total moment = 0.02 μB/f.u.

Cell and atoms, written as extended XYZ:
```
10
Lattice="3.8805 -5.5538 0.0000 3.8805 5.5538 0.0000 0.0000 0.0000 3.6500" Properties=species:S:1:pos:R:3 pbc="T T T"
Tm 0.0000 0.0000 0.0000
Pa 1.9403 2.7769 1.8250
Pa 1.9403 -2.7769 1.8250
Pa 3.8805 0.0000 0.0000
N 3.8805 3.9221 1.8250
N 2.3054 1.4407 0.0000
N 2.3054 -1.4407 0.0000
N 5.4557 1.4407 0.0000
N 5.4557 -1.4407 0.0000
N 3.8805 -3.9221 1.8250
```

***

> Number 3 is which compound?

TmPa3N6